Entry 1:
This record from the Alexandria database describes ZnAgBr after structural relaxation. The functional is PBE.

Cell lengths 7.0031, 6.4853, 3.6477 Å; angles 82.32, 66.60, 31.08 degrees
Last column: nearest neighbours and their distance in Å.
Positions (direct):
Br1 0.6806 0.6806 0.3194  2 Zn 2.61
Ag1 0.9853 0.9853 0.0147  2 Zn 2.59
Zn1 0.3341 0.3341 0.6659  2 Ag 2.59, 2 Br 2.61

Calculated values
DFT total energy	-1.98	eV/atom
uncorrected formation energy	-0.051	eV/atom
space-group type	Fmm2 (42)
offset from the most stable computed form	94	meV/atom

---

Entry 2:
This record from the Alexandria database describes ZnAgBr after structural relaxation. The functional is PBE.

Cell lengths 3.5647, 3.7454, 11.4997 Å; angles 90.00, 90.00, 118.42 degrees
Last column: nearest neighbours and their distance in Å.
Positions (direct):
Br1 0.1666 0.3333 0.8314  2 Zn 2.78, 3 Ag 2.83-2.91
Br2 0.1666 0.3333 0.1686  2 Zn 2.78, 3 Ag 2.83-2.91
Zn1 0.7248 0.4495 0.6488  3 Ag 2.72-2.74, 2 Br 2.78
Zn2 0.7248 0.4495 0.3512  3 Ag 2.72-2.74, 2 Br 2.78
Ag1 0.4043 0.8086 0.5000  6 Zn 2.72-2.74
Ag2 0.4795 0.9590 0.0000  6 Br 2.83-2.91

Calculated values
DFT total energy	-1.99	eV/atom
uncorrected formation energy	-0.054	eV/atom
space-group type	Amm2 (38)
offset from the most stable computed form	91	meV/atom

---

Entry 3:
This record from the Alexandria database describes Zn2AgBr after structural relaxation. The functional is PBE.

Cell lengths 3.8951, 3.8926, 6.0526 Å; angles 90.00, 90.00, 90.00 degrees
Last column: nearest neighbours and their distance in Å.
Positions (direct):
Br1 0.0000 0.5000 0.5000  4 Ag 2.75
Zn1 0.0000 0.0000 0.0000  4 Zn 2.75
Zn2 0.5000 0.5000 0.0000  4 Zn 2.75
Ag1 0.5000 0.0000 0.5000  4 Br 2.75

Calculated values
DFT total energy	-1.64	eV/atom
uncorrected formation energy	0.125	eV/atom
space-group type	P4/mmm (123)
offset from the most stable computed form	183	meV/atom

---

Entry 4:
This record from the Alexandria database describes Zn2AgBr after structural relaxation. The functional is PBE.

Cell lengths 8.1094, 8.1094, 8.1094 Å; angles 24.82, 24.82, 24.82 degrees
Last column: nearest neighbours and their distance in Å.
Positions (direct):
Br1 0.7406 0.7406 0.7406  3 Zn 2.72
Ag1 0.5088 0.5088 0.5088  3 Zn 2.74
Zn1 0.2545 0.2545 0.2545  3 Zn 2.68, 3 Ag 2.74
Zn2 0.9961 0.9961 0.9961  3 Zn 2.68, 3 Br 2.72

Calculated values
DFT total energy	-1.78	eV/atom
uncorrected formation energy	-0.012	eV/atom
space-group type	R3m (160)
offset from the most stable computed form	46	meV/atom

---

Entry 5:
This record from the Alexandria database describes Zn2AgBr after structural relaxation. The functional is PBE.

Cell lengths 5.0770, 5.0770, 3.4734 Å; angles 90.13, 90.13, 114.76 degrees
Last column: nearest neighbours and their distance in Å.
Positions (direct):
Br1 0.0000 0.5000 0.5000  2 Ag 2.74
Zn1 0.0000 0.0000 0.0000  2 Zn 2.74
Zn2 0.5000 0.5000 0.0000  2 Zn 2.74
Ag1 0.5000 0.0000 0.5000  2 Br 2.74

Calculated values
DFT total energy	-1.66	eV/atom
uncorrected formation energy	0.107	eV/atom
space-group type	C2/m (12)
offset from the most stable computed form	165	meV/atom

---

Entry 6:
This record from the Alexandria database describes ZnAgBr4 after structural relaxation. The functional is PBE.

Cell lengths 4.0128, 6.5951, 13.6743 Å; angles 92.66, 90.00, 90.00 degrees
Last column: nearest neighbours and their distance in Å.
Positions (direct):
Zn1 0.0000 0.0000 0.0000  6 Br 2.50-2.77
Zn2 0.5000 0.5000 0.5000  6 Br 2.50-2.77
Br1 0.0079 0.3372 0.6091  1 Ag 2.62, 2 Zn 2.73-2.77
Br2 0.9662 0.3083 0.1133  1 Zn 2.50, 1 Ag 2.77
Br3 0.0338 0.6917 0.8867  1 Zn 2.50, 1 Ag 2.77
Br4 0.4921 0.8372 0.1091  1 Ag 2.62, 2 Zn 2.73-2.77
Br5 0.5079 0.1628 0.8909  1 Ag 2.62, 2 Zn 2.73-2.77
Br6 0.5338 0.8083 0.6133  1 Zn 2.50, 1 Ag 2.77
Br7 0.9921 0.6628 0.3909  1 Ag 2.62, 2 Zn 2.73-2.77
Br8 0.4662 0.1917 0.3867  1 Zn 2.50, 1 Ag 2.77
Ag1 0.5000 0.5000 0.0000  4 Br 2.62-2.77
Ag2 0.0000 0.0000 0.5000  4 Br 2.62-2.77

Calculated values
DFT total energy	-2.28	eV/atom
uncorrected formation energy	-0.480	eV/atom
space-group type	P2_1/c (14)
offset from the most stable computed form	15	meV/atom

---

Entry 7:
This record from the Alexandria database describes ZnAg3Br4 after structural relaxation. The functional is PBE.

Cell lengths 6.3154, 6.3154, 7.6975 Å; angles 114.22, 114.22, 90.00 degrees
Last column: nearest neighbours and their distance in Å.
Positions (direct):
Ag1 0.2500 0.7500 0.5000  4 Br 2.76
Ag2 0.7500 0.2500 0.5000  4 Br 2.76
Ag3 0.5000 0.5000 0.0000  4 Br 2.77
Br1 0.6391 0.1199 0.7590  1 Zn 2.63, 3 Ag 2.76-2.77
Br2 0.3609 0.3609 0.2410  1 Zn 2.63, 3 Ag 2.76-2.77
Br3 0.8801 0.8801 0.2410  1 Zn 2.63, 3 Ag 2.76-2.77
Br4 0.1199 0.6391 0.7590  1 Zn 2.63, 3 Ag 2.76-2.77
Zn1 0.0000 0.0000 0.0000  4 Br 2.63

Calculated values
DFT total energy	-2.34	eV/atom
uncorrected formation energy	-0.275	eV/atom
space-group type	I-42m (121)

---

Entry 8:
This record from the Alexandria database describes Zn2AgBr6 after structural relaxation. The functional is PBE.

Cell lengths 6.9623, 10.0765, 10.0765 Å; angles 89.86, 74.86, 74.86 degrees
Last column: nearest neighbours and their distance in Å.
Positions (direct):
Br1 0.7142 0.2958 0.4401  2 Zn 2.43-2.49
Br2 0.5420 0.0738 0.1725  1 Zn 2.45, 1 Ag 2.62
Br3 0.2849 0.4322 0.8479  1 Zn 2.43, 1 Ag 2.62
Br4 0.7858 0.5599 0.7042  2 Zn 2.43-2.49
Br5 0.7151 0.5678 0.1521  1 Zn 2.43, 1 Ag 2.62
Br6 0.7849 0.8479 0.4322  1 Zn 2.43, 1 Ag 2.62
Br7 0.2858 0.7042 0.5599  2 Zn 2.43-2.49
Br8 0.9580 0.8275 0.9262  1 Zn 2.45, 1 Ag 2.62
Br9 0.2151 0.1521 0.5678  1 Zn 2.43, 1 Ag 2.62
Br10 0.0420 0.1725 0.0738  1 Zn 2.45, 1 Ag 2.62
Br11 0.2142 0.4401 0.2958  2 Zn 2.43-2.49
Br12 0.4580 0.9262 0.8275  1 Zn 2.45, 1 Ag 2.62
Zn1 0.0673 0.6247 0.7641  4 Br 2.43-2.49
Zn2 0.9327 0.3753 0.2359  4 Br 2.43-2.49
Zn3 0.4327 0.2359 0.3753  4 Br 2.43-2.49
Zn4 0.5673 0.7641 0.6247  4 Br 2.43-2.49
Ag1 0.2500 0.1820 0.8180  4 Br 2.62
Ag2 0.7500 0.8180 0.1820  4 Br 2.62

Calculated values
DFT total energy	-2.32	eV/atom
uncorrected formation energy	-0.606	eV/atom
space-group type	C2/c (15)
offset from the most stable computed form	0	meV/atom

---

Entry 9:
This record from the Alexandria database describes Zn2Ag2Br after structural relaxation. The functional is PBE.

Cell lengths 7.8050, 7.8050, 3.2389 Å; angles 90.00, 90.00, 90.00 degrees
Last column: nearest neighbours and their distance in Å.
Positions (direct):
Zn1 0.3312 0.1688 0.5000  6 Ag 2.74-2.86
Zn2 0.6688 0.8312 0.5000  6 Ag 2.74-2.86
Zn3 0.1688 0.6688 0.5000  6 Ag 2.74-2.86
Zn4 0.8312 0.3312 0.5000  6 Ag 2.74-2.86
Br1 0.5000 0.5000 0.0000  4 Ag 3.06, 2 Br 3.24, 8 Zn 3.32
Br2 0.0000 0.0000 0.0000  4 Ag 3.06, 2 Br 3.24, 8 Zn 3.32
Ag1 0.3693 0.8693 0.0000  6 Zn 2.74-2.86, 1 Ag 2.89, 2 Br 3.06
Ag2 0.6307 0.1307 0.0000  6 Zn 2.74-2.86, 1 Ag 2.89, 2 Br 3.06
Ag3 0.8693 0.6307 0.0000  6 Zn 2.74-2.86, 1 Ag 2.89, 2 Br 3.06
Ag4 0.1307 0.3693 0.0000  6 Zn 2.74-2.86, 1 Ag 2.89, 2 Br 3.06

Calculated values
DFT total energy	-1.88	eV/atom
uncorrected formation energy	0.103	eV/atom
space-group type	P4/mbm (127)
offset from the most stable computed form	47	meV/atom

---

Entry 10:
This record from the Alexandria database describes Zn2AgBr after structural relaxation. The functional is PBE.

Cell lengths 3.6676, 3.6676, 7.1129 Å; angles 90.00, 90.00, 90.00 degrees
Last column: nearest neighbours and their distance in Å.
Positions (direct):
Ag1 0.0000 0.0000 0.3537  5 Zn 2.56-2.61
Br1 0.5000 0.5000 0.8397  4 Zn 2.82
Zn1 0.0000 0.0000 0.9940  1 Ag 2.56, 4 Br 2.82
Zn2 0.5000 0.5000 0.3126  4 Ag 2.61

Calculated values
DFT total energy	-1.74	eV/atom
uncorrected formation energy	0.025	eV/atom
space-group type	P4mm (99)
offset from the most stable computed form	83	meV/atom

---

Entry 11:
This record from the Alexandria database describes ZnAg2Br after structural relaxation. The functional is PBE.

Cell lengths 5.0981, 5.0981, 3.2445 Å; angles 90.00, 90.00, 107.86 degrees
Last column: nearest neighbours and their distance in Å.
Positions (direct):
Ag1 0.0000 0.0000 0.0000  4 Ag 3.00-3.24, 4 Br 3.02, 4 Zn 3.02
Ag2 0.5000 0.5000 0.0000  4 Ag 3.00-3.24, 4 Zn 3.02, 4 Br 3.02
Br1 0.5000 0.0000 0.5000  2 Zn 3.00, 8 Ag 3.02, 2 Br 3.24
Zn1 0.0000 0.5000 0.5000  2 Br 3.00, 8 Ag 3.02, 2 Zn 3.24

Calculated values
DFT total energy	-1.99	eV/atom
uncorrected formation energy	0.170	eV/atom
space-group type	Cmmm (65)
offset from the most stable computed form	211	meV/atom

---

Entry 12:
This record from the Alexandria database describes Zn2AgBr after structural relaxation. The functional is PBE.

Cell lengths 3.4420, 4.0558, 6.5164 Å; angles 71.70, 90.00, 90.00 degrees
Last column: nearest neighbours and their distance in Å.
Positions (direct):
Ag1 0.0000 0.3245 0.4735  4 Zn 2.72-2.75
Zn1 0.5000 0.4943 0.1338  1 Br 2.57, 4 Zn 2.67, 2 Ag 2.72
Zn2 0.0000 0.9742 0.1747  4 Zn 2.67, 2 Ag 2.74-2.75
Br1 0.5000 0.7070 0.7180  1 Zn 2.57

Calculated values
DFT total energy	-1.79	eV/atom
uncorrected formation energy	-0.020	eV/atom
space-group type	Pm (6)
offset from the most stable computed form	38	meV/atom

---

Entry 13:
This record from the Alexandria database describes Zn2AgBr after structural relaxation. The functional is PBE.

Cell lengths 3.3966, 3.3966, 8.3172 Å; angles 90.00, 90.00, 118.13 degrees
Last column: nearest neighbours and their distance in Å.
Positions (direct):
Zn1 0.5000 0.5000 0.2375  2 Zn 2.58, 2 Ag 2.64
Zn2 0.0000 0.0000 0.0089  2 Zn 2.58, 2 Br 2.59
Br1 0.5000 0.5000 0.7785  2 Zn 2.59
Ag1 0.0000 0.0000 0.4752  2 Zn 2.64

Calculated values
DFT total energy	-1.71	eV/atom
uncorrected formation energy	0.061	eV/atom
space-group type	Cmm2 (35)
offset from the most stable computed form	119	meV/atom

---

Entry 14:
This record from the Alexandria database describes Zn2AgBr after structural relaxation. The functional is PBE.

Cell lengths 6.8716, 6.8716, 6.5371 Å; angles 58.29, 58.29, 90.00 degrees
Last column: nearest neighbours and their distance in Å.
Positions (direct):
Zn1 0.3750 0.3546 0.7500  2 Ag 2.58, 2 Br 2.76
Zn2 0.6454 0.1250 0.2500  2 Ag 2.58, 2 Br 2.76
Zn3 0.8750 0.8954 0.7500  2 Ag 2.58, 2 Br 2.76
Zn4 0.1046 0.6250 0.2500  2 Ag 2.58, 2 Br 2.76
Br1 0.2500 0.7500 0.5000  4 Zn 2.76
Br2 0.5000 0.5000 0.0000  4 Zn 2.76
Ag1 0.0000 0.0000 0.0000  4 Zn 2.58
Ag2 0.7500 0.2500 0.5000  4 Zn 2.58

Calculated values
DFT total energy	-1.72	eV/atom
uncorrected formation energy	0.048	eV/atom
space-group type	I-42d (122)
offset from the most stable computed form	106	meV/atom

---

Entry 15:
This record from the Alexandria database describes ZnAg2Br after structural relaxation. The functional is PBE.

Cell lengths 4.7044, 4.7044, 9.3656 Å; angles 75.45, 75.45, 90.00 degrees
Last column: nearest neighbours and their distance in Å.
Positions (direct):
Br1 0.7500 0.2500 0.5000  4 Ag 2.92
Br2 0.0000 0.0000 0.0000  4 Ag 2.92
Ag1 0.5499 0.1250 0.2500  2 Zn 2.62, 2 Ag 2.87, 2 Br 2.92
Ag2 0.2001 0.6250 0.2500  2 Zn 2.62, 2 Ag 2.87, 2 Br 2.92
Ag3 0.8750 0.7999 0.7500  2 Zn 2.62, 2 Ag 2.87, 2 Br 2.92
Ag4 0.3750 0.4501 0.7500  2 Zn 2.62, 2 Ag 2.87, 2 Br 2.92
Zn1 0.5000 0.5000 0.0000  4 Ag 2.62
Zn2 0.2500 0.7500 0.5000  4 Ag 2.62

Calculated values
DFT total energy	-2.09	eV/atom
uncorrected formation energy	0.069	eV/atom
space-group type	I-42d (122)
offset from the most stable computed form	110	meV/atom

---

Entry 16:
This record from the Alexandria database describes ZnAg2Br after structural relaxation. The functional is PBE.

Cell lengths 6.8683, 6.8683, 6.8683 Å; angles 146.19, 150.89, 45.20 degrees
Last column: nearest neighbours and their distance in Å.
Positions (direct):
Ag1 0.2462 0.7462 0.5000  4 Zn 2.68, 2 Ag 2.90
Ag2 0.9297 0.9297 0.0000  2 Zn 2.73, 2 Ag 2.90, 4 Br 3.00
Br1 0.5416 0.5416 0.0000  6 Ag 3.00-3.12
Zn1 0.7824 0.2824 0.5000  6 Ag 2.68-2.73

Calculated values
DFT total energy	-2.18	eV/atom
uncorrected formation energy	-0.013	eV/atom
space-group type	Imm2 (44)
offset from the most stable computed form	28	meV/atom

---

Entry 17:
This record from the Alexandria database describes ZnAgBr after structural relaxation. The functional is PBE.

Cell lengths 4.6903, 4.6903, 4.6903 Å; angles 60.00, 60.00, 60.00 degrees
Last column: nearest neighbours and their distance in Å.
Positions (direct):
Ag1 0.0000 0.0000 0.0000  4 Zn 2.87
Zn1 0.7500 0.7500 0.7500  4 Br 2.87, 4 Ag 2.87
Br1 0.5000 0.5000 0.5000  4 Zn 2.87

Calculated values
DFT total energy	-1.70	eV/atom
uncorrected formation energy	0.231	eV/atom
space-group type	F-43m (216)
offset from the most stable computed form	376	meV/atom

---

Entry 18:
This record from the Alexandria database describes ZnAg2Br after structural relaxation. The functional is PBE.

Cell lengths 3.2624, 3.2624, 8.2745 Å; angles 90.00, 90.00, 110.60 degrees
Last column: nearest neighbours and their distance in Å.
Positions (direct):
Ag1 0.5000 0.5000 0.2334  2 Ag 2.79, 2 Br 3.07
Ag2 0.0000 0.0000 0.9823  2 Zn 2.64, 2 Ag 2.79
Br1 0.0000 0.0000 0.5285  2 Zn 2.64
Zn1 0.5000 0.5000 0.7558  2 Ag 2.64, 2 Br 2.64

Calculated values
DFT total energy	-2.08	eV/atom
uncorrected formation energy	0.080	eV/atom
space-group type	Cmm2 (35)
offset from the most stable computed form	122	meV/atom

---

Entry 19:
This record from the Alexandria database describes ZnAgBr4 after structural relaxation. The functional is PBE.

Cell lengths 7.2725, 7.2725, 6.4518 Å; angles 124.31, 124.31, 90.00 degrees
Last column: nearest neighbours and their distance in Å.
Positions (direct):
Br1 0.4899 0.8810 0.3573  1 Zn 2.45, 1 Ag 2.62
Br2 0.1190 0.1326 0.6427  1 Zn 2.45, 1 Ag 2.62
Br3 0.8674 0.4762 0.3573  1 Zn 2.45, 1 Ag 2.62
Br4 0.5238 0.5101 0.6427  1 Zn 2.45, 1 Ag 2.62
Ag1 0.7500 0.2500 0.5000  4 Br 2.62
Zn1 0.5000 0.5000 0.0000  4 Br 2.45

Calculated values
DFT total energy	-2.30	eV/atom
uncorrected formation energy	-0.495	eV/atom
space-group type	I-4 (82)
offset from the most stable computed form	0	meV/atom

---

Entry 20:
This record from the Alexandria database describes Zn2AgBr after structural relaxation. The functional is PBE.

Cell lengths 4.9727, 4.9727, 4.9727 Å; angles 60.00, 60.00, 60.00 degrees
Last column: nearest neighbours and their distance in Å.
Positions (direct):
Br1 0.0000 0.0000 0.0000  8 Zn 3.05
Ag1 0.5000 0.5000 0.5000  8 Zn 3.05
Zn1 0.7500 0.7500 0.7500  4 Br 3.05, 4 Ag 3.05
Zn2 0.2500 0.2500 0.2500  4 Br 3.05, 4 Ag 3.05

Calculated values
DFT total energy	-1.37	eV/atom
uncorrected formation energy	0.400	eV/atom
space-group type	Fm-3m (225)
offset from the most stable computed form	458	meV/atom